## 1
This record from Alexandria describes a geometry-optimized Ac3SmSe4 structure. The functional is GGA-PBE.

The structure in POSCAR format:
```
Ac3SmSe4
1.0
6.231 0.000 0.000
0.000 6.231 0.000
0.000 0.000 6.231
Ac Sm Se
3 1 4
direct
0.000 0.000 0.500
0.000 0.500 0.000
0.500 0.000 0.000
0.500 0.500 0.500
0.000 0.000 0.000
0.000 0.500 0.500
0.500 0.000 0.500
0.500 0.500 0.000
```

Results
As for the space group: No. 221. The density of states at the Fermi level comes out at 5.57 states/eV/cell.

=====

## 2
This record from Alexandria describes a geometry-optimized Ac3SmSe4 structure. The functional is GGA-PBE.

The structure in POSCAR format:
```
Ac3SmSe4
1.0
7.667 0.000 0.000
0.000 8.716 0.000
-2.512 0.000 7.193
Ac Sm Se
6 2 8
direct
0.000 0.125 0.250
0.000 0.374 0.750
0.000 0.626 0.250
0.000 0.875 0.750
0.500 0.373 0.250
0.500 0.627 0.750
0.500 0.124 0.750
0.500 0.876 0.250
0.258 0.368 0.508
0.258 0.632 0.008
0.263 0.118 0.000
0.263 0.882 0.500
0.737 0.118 0.500
0.737 0.882 0.000
0.742 0.368 0.992
0.742 0.632 0.492
```

Results
As for the space group: No. 13. The density of states at the Fermi level comes out at 8.11 states/eV/cell.

=====

Most stable: 2

=====

## 1
This record from Alexandria describes a geometry-optimized AcSmTeSe structure. The functional is GGA-PBE.

The structure in POSCAR format:
```
AcSmTeSe
1.0
0.000 3.858 3.858
3.858 0.000 3.858
3.858 3.858 0.000
Ac Sm Te Se
1 1 1 1
direct
0.000 0.000 0.000
0.500 0.500 0.500
0.250 0.250 0.250
0.750 0.750 0.750
```

Results
As for the space group: No. 216. The density of states at the Fermi level comes out at 3.13 states/eV/cell.

=====

## 2
This record from Alexandria describes a geometry-optimized AcSmTeSe structure. The functional is GGA-PBE.

The structure in POSCAR format:
```
AcSmTeSe
1.0
5.129 0.000 0.000
0.000 5.129 0.000
0.000 0.000 10.423
Ac Sm Te Se
2 2 2 2
direct
0.250 0.250 0.154
0.750 0.750 0.846
0.250 0.750 0.500
0.750 0.250 0.500
0.250 0.250 0.680
0.750 0.750 0.320
0.250 0.750 0.000
0.750 0.250 0.000
```

Results
As for the space group: No. 129. The density of states at the Fermi level comes out at 5.09 states/eV/cell.

=====

Most stable: 1